The following is a DFT calculation (PBE-GGA) of a geometry-optimized Hf3MnB structure.

Cell lengths 4.495, 4.495, 4.495 Å; angles 90.00, 90.00, 90.00 degrees
Space group Pm-3m (No. 221)
Inequivalent atoms, fractional coordinates:
Hf  0.000  0.000  0.500 [3 per cell]
Mn  0.500  0.500  0.500 [1 per cell]
B  0.000  0.000  0.000 [1 per cell]

Results
As for the electronic total energy: -8.910 eV/atom. The calculation puts the total magnetic moment at 0.00 μB per cell. Its energy above the most stable polymorph in this dataset is 0.0 kJ per mole of atoms. The crystal system is cubic. The value obtained for the formation energy is 0.232 eV/atom. For the mass density, the calculation gives 10996 kg/m³.